1.
An optimized crystal structure of Tm2InGa2Rh5. Source: the Alexandria database, functional GGA-PBE.

Computed properties:
**Formation energy from the elements**: -77.4 kJ/mol of atoms

Cell and atoms, written as extended XYZ:
```
20
Lattice="-1.5718 -2.9420 1.2886 8.0978 -5.1705 -1.9271 3.4488 2.0711 8.9352" Properties=species:S:1:pos:R:3 pbc="T T T"
Tm 2.5330 -0.2239 2.5784
Rh 1.1362 -2.4018 0.8639
Tm 5.4895 0.0249 6.7528
Rh 3.2630 -4.0563 -0.3192
Ga 3.4715 -1.6858 0.3856
In 0.0000 0.0000 0.0000
Ga 8.3881 -3.7500 1.6701
Rh 0.9385 -0.4355 5.1119
Rh 6.4309 -4.2389 3.1278
Rh 7.4666 -5.8523 0.7078
Rh 3.7087 -3.0923 2.4253
Rh 3.5439 -1.8025 5.1690
Ga 8.0752 -1.4136 6.6225
Rh 6.2661 -2.9491 5.8715
Ga 3.1586 0.6506 5.3381
Rh 8.8386 -3.6396 7.4328
Tm 6.0571 -3.1243 0.2553
In 5.7733 -1.5497 3.5041
Rh 2.5082 -0.1891 7.5890
Tm 9.0137 -2.8755 4.4297
```

2.
An optimized crystal structure of Tm4InGa2Rh. Source: the Alexandria database, functional GGA-PBE.

Computed properties:
**Formation energy from the elements**: -59.0 kJ/mol of atoms

Cell and atoms, written as extended XYZ:
```
8
Lattice="5.0303 0.0000 0.0000 2.5151 4.3563 0.0000 2.5151 1.4521 8.1524" Properties=species:S:1:pos:R:3 pbc="T T T"
Tm 2.5151 1.4521 4.9519
Ga 2.5151 1.4521 1.9566
Ga 7.5454 4.3563 6.1958
Rh 5.0303 2.9042 4.0762
Tm 7.5454 4.3563 3.2005
In 0.0000 0.0000 0.0000
Tm 5.0303 2.9042 6.9252
Tm 5.0303 2.9042 1.2272
```

3.
An optimized crystal structure of Y2InGa3Rh4. Source: the Alexandria database, functional GGA-PBE.

Computed properties:
**Formation energy from the elements**: -70.3 kJ/mol of atoms

Cell and atoms, written as extended XYZ:
```
10
Lattice="-3.5584 1.6566 1.5780 1.3440 -0.8478 3.9207 4.6211 9.4823 0.4662" Properties=species:S:1:pos:R:3 pbc="T T T"
In 1.2034 5.1456 2.9825
Rh -1.1072 0.4044 2.7494
Rh 1.2146 6.9714 1.0911
Rh 0.0000 0.0000 0.0000
Y -0.7143 3.0133 0.8965
Ga 2.3106 4.7412 0.2331
Ga 2.2780 9.1535 1.1984
Y 4.2283 6.8734 2.3191
Ga 1.2359 0.7332 2.0172
Rh 2.2993 2.9153 2.1245
```

4.
An optimized crystal structure of ZrInGaRh. Source: the Alexandria database, functional GGA-PBE.

Computed properties:
**Formation energy from the elements**: -42.1 kJ/mol of atoms

Cell and atoms, written as extended XYZ:
```
4
Lattice="-3.0774 1.8679 2.9984 -4.5863 -0.1682 -0.9421 -2.8072 -2.7842 2.5136" Properties=species:S:1:pos:R:3 pbc="T T T"
Ga 0.0000 0.0000 0.0000
In -2.6177 -0.2711 1.1425
Rh -5.2355 -0.5422 2.2849
Zr -7.8532 -0.8134 3.4274
```

5.
An optimized crystal structure of InGaRu3. Source: the Alexandria database, functional GGA-PBE.

Computed properties:
**Formation energy from the elements**: 95.1 kJ/mol of atoms

Cell and atoms, written as extended XYZ:
```
5
Lattice="-3.4176 -1.6396 2.5120 1.2908 -4.2412 -1.0121 2.7078 -0.0476 3.6529" Properties=species:S:1:pos:R:3 pbc="T T T"
Ru 1.3539 -0.0238 1.8264
Ru -1.7088 -0.8198 1.2560
Ru 0.6454 -2.1206 -0.5061
In 0.2905 -2.9642 2.5764
Ga 0.0000 0.0000 0.0000
```

6.
An optimized crystal structure of In3GaRu. Source: the Alexandria database, functional GGA-PBE.

Computed properties:
**Formation energy from the elements**: 15.3 kJ/mol of atoms

Cell and atoms, written as extended XYZ:
```
5
Lattice="5.1643 0.0000 0.0000 0.0000 5.1643 0.0000 0.0000 0.0000 5.1643" Properties=species:S:1:pos:R:3 pbc="T T T"
In 0.0000 0.0000 2.5822
Ga 2.5822 2.5822 2.5822
In 2.5822 0.0000 0.0000
Ru 0.0000 0.0000 0.0000
In 0.0000 2.5822 0.0000
```

7.
An optimized crystal structure of InGa2Ru2. Source: the Alexandria database, functional GGA-PBE.

Computed properties:
**Formation energy from the elements**: -11.2 kJ/mol of atoms

Cell and atoms, written as extended XYZ:
```
10
Lattice="-6.3752 -2.8852 1.6965 2.3989 -1.3937 6.6445 -0.9774 2.7002 0.9192" Properties=species:S:1:pos:R:3 pbc="T T T"
In 0.0000 0.0000 0.0000
In -1.9882 -2.1395 4.1705
Ru -2.7268 -1.7326 7.1350
Ga 0.0592 -0.8907 2.6792
Ga -4.0356 -3.3882 5.6617
Ga -0.2720 -2.2802 6.4088
Ga -3.7043 -1.9987 1.9321
Ru -5.0076 -1.5252 4.1005
Ru -2.2270 0.1539 2.1252
Ru 0.0539 -0.0536 5.1597
```

8.
An optimized crystal structure of In3GaRu. Source: the Alexandria database, functional GGA-PBE.

Computed properties:
**Formation energy from the elements**: 102.8 kJ/mol of atoms

Cell and atoms, written as extended XYZ:
```
5
Lattice="5.1741 0.0000 0.0000 0.0000 5.1741 0.0000 0.0000 0.0000 5.1741" Properties=species:S:1:pos:R:3 pbc="T T T"
In 0.0000 0.0000 2.5870
In 0.0000 2.5870 0.0000
Ru 2.5870 2.5870 2.5870
In 2.5870 0.0000 0.0000
Ga 0.0000 0.0000 0.0000
```

9.
An optimized crystal structure of InGa2Ru2. Source: the Alexandria database, functional GGA-PBE.

Computed properties:
**Formation energy from the elements**: -3.7 kJ/mol of atoms

Cell and atoms, written as extended XYZ:
```
5
Lattice="-1.8962 -2.7291 -1.2041 2.9156 -1.3943 -1.4312 1.6889 -5.3570 4.2946" Properties=species:S:1:pos:R:3 pbc="T T T"
Ru 1.9505 -6.7253 1.7960
Ga 0.1512 -5.0739 0.8864
Ru 0.7578 -2.7551 -0.1367
In 0.0000 0.0000 0.0000
Ga 2.5571 -4.4065 0.7728
```

10.
An optimized crystal structure of InGa2Ru2. Source: the Alexandria database, functional GGA-PBE.

Computed properties:
**Formation energy from the elements**: -18.5 kJ/mol of atoms

Cell and atoms, written as extended XYZ:
```
10
Lattice="7.1284 0.0000 0.0000 0.0000 7.1284 0.0000 0.0000 0.0000 3.1641" Properties=species:S:1:pos:R:3 pbc="T T T"
In 3.5642 3.5642 0.0000
Ru 6.0622 4.6304 0.0000
Ga 6.0934 2.5292 1.5820
Ga 4.5992 6.0934 1.5820
In 0.0000 0.0000 0.0000
Ga 1.0350 4.5992 1.5820
Ru 2.4980 6.0622 0.0000
Ru 1.0662 2.4980 0.0000
Ru 4.6304 1.0662 0.0000
Ga 2.5292 1.0350 1.5820
```

11.
An optimized crystal structure of InGa2Ru. Source: the Alexandria database, functional GGA-PBE.

Computed properties:
**Formation energy from the elements**: 12.7 kJ/mol of atoms

Cell and atoms, written as extended XYZ:
```
4
Lattice="4.2338 0.0000 0.0000 2.1169 3.6666 0.0000 2.1169 1.2222 4.8254" Properties=species:S:1:pos:R:3 pbc="T T T"
Ru 4.2338 2.4444 2.4127
Ga 2.1169 1.2222 1.6395
Ga 6.3508 3.6666 3.1860
In 0.0000 0.0000 0.0000
```

12.
An optimized crystal structure of InGaRu3. Source: the Alexandria database, functional GGA-PBE.

Computed properties:
**Formation energy from the elements**: 185.5 kJ/mol of atoms

Cell and atoms, written as extended XYZ:
```
5
Lattice="-0.1771 -0.4322 -4.8397 -4.7255 -1.1121 0.2722 -1.1312 4.7136 -0.3796" Properties=species:S:1:pos:R:3 pbc="T T T"
Ga -3.0169 1.5846 -2.4735
Ru -0.0885 -0.2161 -2.4199
In 0.0000 0.0000 0.0000
Ru -2.3627 -0.5561 0.1361
Ru -0.5656 2.3568 -0.1898
```

13.
An optimized crystal structure of In2GaRu2. Source: the Alexandria database, functional GGA-PBE.

Computed properties:
**Formation energy from the elements**: 47.6 kJ/mol of atoms

Cell and atoms, written as extended XYZ:
```
5
Lattice="-2.8082 2.8361 -0.4201 -0.0361 -0.6230 -3.9644 -5.8209 -3.1442 -1.4842" Properties=species:S:1:pos:R:3 pbc="T T T"
In -5.0257 0.3992 -2.0483
In -3.6396 -1.3303 -3.8205
Ru -6.3922 -1.2154 -3.8135
Ru -2.2730 0.2843 -2.0553
Ga 0.0000 0.0000 0.0000
```

14.
An optimized crystal structure of InGa2Ru. Source: the Alexandria database, functional GGA-PBE.

Computed properties:
**Formation energy from the elements**: 18.2 kJ/mol of atoms

Cell and atoms, written as extended XYZ:
```
8
Lattice="4.0552 0.0000 0.0000 0.0000 4.0552 0.0000 2.0276 2.0276 9.1337" Properties=species:S:1:pos:R:3 pbc="T T T"
Ga 3.0414 3.2454 6.8502
Ga 1.2178 3.0414 2.2834
Ru 2.0276 4.0552 4.5668
Ru 2.0276 2.0276 0.0000
In 0.0000 0.0000 0.0000
In 4.0552 2.0276 4.5668
Ga 2.8374 1.0138 2.2834
Ga 5.0690 4.8650 6.8502
```

15.
An optimized crystal structure of In2GaRu2. Source: the Alexandria database, functional GGA-PBE.

Computed properties:
**Formation energy from the elements**: -12.6 kJ/mol of atoms

Cell and atoms, written as extended XYZ:
```
10
Lattice="-5.2736 2.2092 -3.2269 -3.6410 -4.7506 2.6980 -0.8993 2.4935 3.1768" Properties=species:S:1:pos:R:3 pbc="T T T"
Ga -4.4573 -1.2707 -0.2645
Ru -4.9803 -3.2761 1.1615
Ru -6.8565 -1.1791 -1.0156
In -2.8235 1.2301 0.9295
Ga 0.0000 0.0000 0.0000
Ru -2.0581 -1.3623 0.4867
In -3.7064 -1.5380 2.8522
In -6.1076 1.4901 -0.2043
Ru -3.9343 0.7347 -1.6905
In -6.9905 -1.2780 1.7184
```

16.
An optimized crystal structure of InGaRu2S. Source: the Alexandria database, functional GGA-PBE.

Computed properties:
**Energy relative to the elements, uncorrected**: 1743.8 meV per atom

Cell and atoms, written as extended XYZ:
```
5
Lattice="5.0369 0.0000 0.0000 0.0000 4.9227 0.0000 0.0000 0.0000 5.0369" Properties=species:S:1:pos:R:3 pbc="T T T"
S 2.5185 2.4614 2.5185
Ru 0.0000 0.0000 2.5185
In 0.0000 0.0000 0.0000
Ru 2.5185 0.0000 0.0000
Ga 0.0000 2.4614 0.0000
```

17.
An optimized crystal structure of ScInGaRu. Source: the Alexandria database, functional GGA-PBE.

Computed properties:
**Formation energy from the elements**: -32.2 kJ/mol of atoms

Cell and atoms, written as extended XYZ:
```
4
Lattice="4.6061 0.0000 0.0000 2.3031 3.9890 0.0000 2.3031 1.3297 3.7609" Properties=species:S:1:pos:R:3 pbc="T T T"
Sc 0.0000 0.0000 0.0000
Ru 4.6061 2.6594 1.8805
In 2.3031 1.3297 0.9402
Ga 6.9092 3.9890 2.8207
```

18.
An optimized crystal structure of Sc5In2GaRu2. Source: the Alexandria database, functional GGA-PBE.

Computed properties:
**Formation energy from the elements**: -42.1 kJ/mol of atoms

Cell and atoms, written as extended XYZ:
```
20
Lattice="3.3343 0.0000 0.0000 0.0000 11.1529 0.0000 0.0000 0.0000 11.1529" Properties=species:S:1:pos:R:3 pbc="T T T"
In 0.0000 3.6356 9.2120
Sc 1.6672 0.8131 8.9264
Ga 0.0000 0.0000 0.0000
Ru 0.0000 9.6717 4.0953
Ga 0.0000 5.5764 5.5764
Sc 1.6672 7.8029 4.7633
Sc 1.6672 3.3500 6.3896
Sc 1.6672 4.7633 3.3500
Ru 0.0000 1.4811 7.0576
Sc 1.6672 5.5764 0.0000
Sc 1.6672 8.9264 10.3397
Ru 0.0000 7.0576 9.6717
Sc 1.6672 0.0000 5.5764
Sc 1.6672 6.3896 7.8029
In 0.0000 7.5173 1.9408
Sc 1.6672 10.3397 2.2265
In 0.0000 9.2120 7.5173
Ru 0.0000 4.0953 1.4811
Sc 1.6672 2.2265 0.8131
In 0.0000 1.9408 3.6356
```

19.
An optimized crystal structure of Sc4InGaRu2. Source: the Alexandria database, functional GGA-PBE.

Computed properties:
**Formation energy from the elements**: -50.3 kJ/mol of atoms

Cell and atoms, written as extended XYZ:
```
8
Lattice="-0.0897 -1.2487 4.5355 3.9599 -1.3658 2.1428 2.7040 6.4216 4.2619" Properties=species:S:1:pos:R:3 pbc="T T T"
Sc 4.4127 0.1835 7.4593
Ru 1.6432 0.9501 2.7346
Sc 3.8031 4.5652 6.2131
Sc 2.7711 -0.7581 4.7271
In 0.0000 0.0000 0.0000
Ru 4.9310 2.8570 8.2056
Sc 2.1615 3.6236 3.4809
Ga 3.2871 1.9035 5.4701
```

20.
An optimized crystal structure of Sc4InGa2Ru. Source: the Alexandria database, functional GGA-PBE.

Computed properties:
**Formation energy from the elements**: -54.0 kJ/mol of atoms

Cell and atoms, written as extended XYZ:
```
8
Lattice="-0.4031 4.6940 0.7680 -3.9459 2.3121 -1.3677 -4.6748 0.9258 6.7223" Properties=species:S:1:pos:R:3 pbc="T T T"
Ru -4.5119 3.9659 3.0613
In 0.0000 0.0000 0.0000
Sc -3.3764 4.4622 0.6241
Ga -2.2530 1.9843 1.5244
Sc -5.6056 6.4569 2.0974
Ga -6.7708 5.9476 4.5982
Sc -3.4182 1.4750 4.0252
Sc -5.6475 3.4697 5.4985
```

The following magnetic moment values (in μB/f.u.) correspond, in order, to the records above: 0.00 0.00 0.00 0.00 2.25 0.00 0.00 2.21 0.00 0.00 0.00 4.02 0.00 0.00 0.00 3.95 0.00 0.00 0.00 0.00.